[1]
{"formula": "TbHo2Os", "functional": "PBE", "state": "optimized geometry", "lattice": [[-1.799, 3.543, -0.033], [-4.313, -4.406, 1.091], [1.416, 0.801, 8.830]], "species": ["Tb", "Tb", "Ho", "Ho", "Ho", "Ho", "Os", "Os"], "fractional_positions": [[0.925, 0.850, 0.250], [0.075, 0.150, 0.750], [0.355, 0.710, 0.566], [0.645, 0.290, 0.434], [0.355, 0.710, 0.934], [0.645, 0.290, 0.066], [0.742, 0.485, 0.750], [0.258, 0.515, 0.250]], "n_ef_per_ev_cell": 6.91, "energy_ry_per_atom": -0.4777, "magnetic_moment_mub_per_fu": 0.00, "formation_enthalpy_0k_ev_per_atom": -0.245, "vol_a3_per_atom": 26.5}

[2]
{"formula": "LaZrAs2Rh5", "functional": "PBE", "state": "optimized geometry", "lattice": [[-0.469, -3.091, 2.650], [2.184, -2.442, -2.462], [9.118, 2.998, 5.113]], "species": ["La", "Zr", "As", "As", "Rh", "Rh", "Rh", "Rh", "Rh"], "fractional_positions": [[0.000, 0.000, 0.500], [0.000, 0.000, 0.000], [0.500, 0.500, 0.280], [0.500, 0.500, 0.720], [0.000, 0.500, 0.167], [0.500, 0.000, 0.167], [0.000, 0.500, 0.833], [0.500, 0.000, 0.833], [0.500, 0.500, 0.500]], "n_ef_per_ev_cell": 3.48, "energy_ry_per_atom": -0.5323, "magnetic_moment_mub_per_fu": 0.00, "formation_enthalpy_0k_ev_per_atom": -0.627, "vol_a3_per_atom": 20.3}

[3]
{"formula": "TaRhW", "functional": "PBE", "state": "optimized geometry", "lattice": [[-1.629, 1.629, 4.626], [1.629, -1.629, 4.626], [1.629, 1.629, -4.626]], "species": ["Ta", "Rh", "W"], "fractional_positions": [[0.332, 0.332, 0.000], [0.999, 0.999, 0.000], [0.669, 0.669, 0.000]], "n_ef_per_ev_cell": 4.10, "energy_ry_per_atom": -0.7865, "magnetic_moment_mub_per_fu": 0.00, "formation_enthalpy_0k_ev_per_atom": 0.019, "vol_a3_per_atom": 16.4}

[4]
{"formula": "La2GaSb", "functional": "PBE", "state": "optimized geometry", "lattice": [[4.470, 0.000, 0.000], [0.000, 4.583, -0.814], [0.000, -0.108, 12.704]], "species": ["La", "La", "La", "La", "Ga", "Ga", "Sb", "Sb"], "fractional_positions": [[0.750, 0.683, 0.365], [0.250, 0.317, 0.635], [0.750, 0.940, 0.880], [0.250, 0.060, 0.120], [0.250, 0.467, 0.933], [0.750, 0.533, 0.067], [0.250, 0.188, 0.376], [0.750, 0.812, 0.624]], "n_ef_per_ev_cell": 5.87, "energy_ry_per_atom": -0.3778, "magnetic_moment_mub_per_fu": 0.00, "vol_a3_per_atom": 32.5, "e_form_raw_ev_per_atom": -0.89}

[5]
{"formula": "AcCe2Ni2Ge2", "functional": "PBE", "state": "optimized geometry", "lattice": [[4.314, 0.000, 0.000], [2.157, 3.736, 0.000], [2.157, 1.245, 9.276]], "species": ["Ac", "Ce", "Ce", "Ni", "Ni", "Ge", "Ge"], "fractional_positions": [[0.000, 0.000, 0.000], [0.139, 0.139, 0.582], [0.861, 0.861, 0.418], [0.578, 0.578, 0.267], [0.422, 0.422, 0.733], [0.744, 0.744, 0.769], [0.256, 0.256, 0.231]], "n_ef_per_ev_cell": 7.81, "energy_ry_per_atom": -0.4315, "magnetic_moment_mub_per_fu": 0.80, "formation_enthalpy_0k_ev_per_atom": -0.618, "vol_a3_per_atom": 21.4}

[6]
{"formula": "AsSCl2O", "functional": "PBE", "state": "optimized geometry", "lattice": [[-2.051, -2.733, -2.897], [1.006, -3.509, 2.597], [-3.699, 0.517, 2.131]], "species": ["As", "S", "O", "Cl", "Cl"], "fractional_positions": [[0.500, 0.500, 0.500], [0.000, 0.000, 0.500], [0.000, 0.000, 0.000], [0.000, 0.500, 0.000], [0.500, 0.000, 0.000]], "n_ef_per_ev_cell": 2.39, "energy_ry_per_atom": -0.1982, "magnetic_moment_mub_per_fu": 0.00, "vol_a3_per_atom": 17.3, "e_form_raw_ev_per_atom": 0.79}

[7]
{"formula": "Hg2SbPd6", "functional": "PBE", "state": "optimized geometry", "lattice": [[-2.970, -0.660, 0.399], [-0.895, -0.581, -7.629], [1.934, -6.205, 4.135]], "species": ["Hg", "Hg", "Sb", "Pd", "Pd", "Pd", "Pd", "Pd", "Pd"], "fractional_positions": [[0.000, 0.333, 0.667], [0.000, 0.667, 0.333], [0.500, 0.000, 0.000], [0.500, 0.635, 0.000], [0.500, 0.365, 0.365], [0.500, 0.000, 0.635], [0.000, 0.287, 0.000], [0.000, 0.713, 0.713], [0.000, 0.000, 0.287]], "n_ef_per_ev_cell": 4.00, "energy_ry_per_atom": -0.3082, "magnetic_moment_mub_per_fu": 0.00, "vol_a3_per_atom": 17.5, "e_form_raw_ev_per_atom": -0.21}

[8]
{"formula": "Cs3TbPr2Te6", "functional": "PBE", "state": "optimized geometry", "lattice": [[8.077, -0.002, 0.000], [-4.038, 6.995, 0.000], [-1.347, -2.332, 8.946]], "species": ["Cs", "Cs", "Cs", "Tb", "Pr", "Pr", "Te", "Te", "Te", "Te", "Te", "Te"], "fractional_positions": [[0.169, 0.831, 0.500], [0.831, 0.169, 0.500], [0.500, 0.500, 0.500], [0.000, 0.000, 0.000], [0.334, 0.666, 0.000], [0.666, 0.334, 0.000], [0.935, 0.610, 0.806], [0.740, 0.740, 0.195], [0.065, 0.390, 0.194], [0.610, 0.935, 0.806], [0.260, 0.260, 0.805], [0.390, 0.065, 0.194]], "energy_ry_per_atom": -0.3216, "magnetic_moment_mub_per_fu": 0.00, "vol_a3_per_atom": 42.1, "e_form_raw_ev_per_atom": -1.41}